Entry 1:
Computed, not measured: a relaxed InAg2 crystal at the GGA-PBEsol level of DFT.

Cell and atoms, written as POSCAR:
```
InAg2
1.0
4.653 0.000 0.000
-2.326 4.029 0.000
0.000 0.000 2.920
In Ag
1 2
Direct
0.000 0.000 0.000
0.333 0.667 0.311
0.667 0.333 0.689
```

Properties
space group: No. 164
size of the total moment: 0.00 Bohr magnetons per cell
E_tot: -9.65 eV per formula unit
energy of formation: -0.015 eV/atom

---

Entry 2:
Computed, not measured: a relaxed LaMoRu2 crystal at the GGA-PBEsol level of DFT.

Cell and atoms, written as POSCAR:
```
LaMoRu2
1.0
3.296 -3.489 0.000
3.296 3.489 0.000
0.000 0.000 3.017
La Mo Ru
1 1 2
Direct
0.000 0.000 0.000
0.500 0.500 0.000
0.000 0.500 0.500
0.500 0.000 0.500
```

Properties
space group: No. 65
size of the total moment: 0.00 Bohr magnetons per cell
E_tot: -35.72 eV per formula unit
energy of formation: 0.434 eV/atom

---

Entry 3:
Computed, not measured: a relaxed BaAgP2N crystal at the GGA-PBEsol level of DFT.

Cell and atoms, written as POSCAR:
```
BaAgP2N
1.0
4.569 0.000 0.000
0.000 4.569 0.000
0.000 0.000 4.340
Ba Ag P N
1 1 2 1
Direct
0.000 0.000 0.000
0.500 0.500 0.000
0.000 0.500 0.500
0.500 0.000 0.500
0.500 0.500 0.500
```

Properties
space group: No. 123
size of the total moment: 0.00 Bohr magnetons per cell
E_form (uncorrected): 0.407 eV per atom
E_tot: -23.53 eV per formula unit